Below is crystalline La2YZr at its relaxed geometry, with properties calculated at the PBE-GGA level.

Cell lengths 5.0781, 5.0781, 9.7021 Å; angles 90.00, 90.00, 90.00 degrees
Closest atoms and distances in Å follow each position.
Space group I4/mmm (No. 139)
Unique sites:
La 0.0000 0.5000 0.2500  4 Y 3.51, 4 Zr 3.51, 4 La 3.59
Y 0.0000 0.0000 0.0000  8 La 3.51, 4 Zr 3.59
Zr 0.0000 0.0000 0.5000  8 La 3.51, 4 Y 3.59

energy relative to the elements = 133 meV per atom
total magnetization = 0.00 Bohr magnetons per cell
energy above the most stable polymorph in this dataset = 34 meV/atom
E_tot = -6.08 eV/atom



Below is crystalline CrBP2S at its relaxed geometry, with properties calculated at the PBE-GGA level.

Cell lengths 4.0269, 4.0269, 4.3723 Å; angles 90.00, 90.00, 90.00 degrees
Closest atoms and distances in Å follow each position.
Space group P4/mmm (No. 123)
Unique sites:
Cr 0.0000 0.0000 0.0000  4 S 2.85, 8 P 2.97
B 0.5000 0.5000 0.5000  4 P 2.01, 2 S 2.19
P 0.0000 0.5000 0.5000  2 B 2.01
S 0.5000 0.5000 0.0000  2 B 2.19

total magnetization = 3.28 Bohr magnetons per cell
energy above the most stable polymorph in this dataset = 0 meV/atom
uncorrected formation energy = 780 meV/atom
E_tot = -5.47 eV/atom



Below is crystalline TbPr2Dy5 at its relaxed geometry, with properties calculated at the PBE-GGA level.

Cell lengths 7.1717, 14.3439, 5.0732 Å; angles 90.00, 90.00, 90.00 degrees
Closest atoms and distances in Å follow each position.
Space group Pbam (No. 55)
Unique sites:
Tb 0.0000 0.0000 0.0000  8 Dy 3.59, 4 Pr 3.59
Pr 0.2501 0.1252 0.5000  10 Dy 3.58-3.59, 2 Tb 3.59
Dy 0.0002 0.2501 0.0000  4 Pr 3.58-3.59, 7 Dy 3.58-3.59, 1 Tb 3.59
Dy 0.0000 0.5000 0.0000  6 Dy 3.58-3.59, 2 Tb 3.59, 4 Pr 3.59
Dy 0.2501 0.3751 0.5000  4 Pr 3.58-3.59, 2 Tb 3.59, 6 Dy 3.59

energy relative to the elements = 20 meV per atom
total magnetization = 0.00 Bohr magnetons per cell
energy above the most stable polymorph in this dataset = 0 meV/atom
E_tot = -4.63 eV/atom



Below is crystalline Pm2Nd4Sb3N2 at its relaxed geometry, with properties calculated at the PBE-GGA level.

Cell lengths 4.8137, 4.8137, 26.0195 Å; angles 90.00, 90.00, 90.00 degrees
Closest atoms and distances in Å follow each position.
Space group I4/mmm (No. 139)
Unique sites:
Pm 0.0000 0.0000 0.1932  1 N 2.29
Nd 0.0000 0.5000 0.0832  2 N 2.47
Sb 0.0000 0.0000 0.3208  5 Pm 3.32-3.42, 4 Nd 3.47
Sb 0.0000 0.0000 0.5000  8 Nd 3.24
N 0.0000 0.0000 0.1052  1 Pm 2.29, 4 Nd 2.47

total magnetization = 0.00 Bohr magnetons per cell
uncorrected formation energy = -1136 meV/atom
E_tot = -6.37 eV/atom



Below is crystalline Cs3Mg2PbI9 at its relaxed geometry, with properties calculated at the PBE-GGA level.

Cell lengths 8.5700, 8.5700, 10.5450 Å; angles 90.00, 90.00, 120.00 degrees
Closest atoms and distances in Å follow each position.
Space group P-3m1 (No. 164)
Unique sites:
Cs 0.0000 0.0000 0.0000  12 I 4.25-4.29
Cs 0.3333 0.6667 0.6696  12 I 4.27-4.37
Mg 0.3333 0.6667 0.1568  6 I 2.93-2.98
Pb 0.0000 0.0000 0.5000  6 I 3.20
I 0.0000 0.5000 0.0000  2 Mg 2.98
I 0.1737 0.3474 0.3210  1 Mg 2.93, 1 Pb 3.20

total magnetization = 0.00 Bohr magnetons per cell
uncorrected formation energy = -1138 meV/atom
E_tot = -2.70 eV/atom



Below is crystalline AgSI2 at its relaxed geometry, with properties calculated at the PBE-GGA level.

Cell lengths 7.3078, 7.4241, 13.1532 Å; angles 90.00, 122.61, 90.00 degrees
Closest atoms and distances in Å follow each position.
Space group P2/c (No. 13)
Unique sites:
Ag 0.0470 0.1342 0.1454  4 I 2.80-2.97
S 0.4226 0.4807 0.6637  1 S 1.91
I 0.0521 0.2433 0.5863  2 Ag 2.84-2.91, 1 S 2.92
I 0.3722 0.2262 0.3818  2 Ag 2.80-2.97, 1 S 2.88

total magnetization = 0.00 Bohr magnetons per cell
energy above the most stable polymorph in this dataset = 0 meV/atom
uncorrected formation energy = -26 meV/atom
E_tot = -2.55 eV/atom